Record 1
Below is a relaxed structure of YTa2Ir, with properties calculated at the PBE level.

a b c (Å): 2.970 4.573 5.645
angles (deg): 90.00 90.00 90.00
Space group Pmmm (No. 47)
One atom of each set of equivalent atoms:
Y 0.000 0.000 0.000 x1
Ta 0.500 0.500 0.262 x2
Ir 0.000 0.000 0.500 x1

Calculated values
Its formation energy is 0.77 eV/f.u. The energy above the lowest structure with this stoichiometry comes out at 1.50 eV/f.u.

---

Record 2
Below is a relaxed structure of K4Ac3ScSe8, with properties calculated at the PBE level.

a b c (Å): 8.8923 8.8923 23.1849
angles (deg): 90.00 90.00 120.00
Space group R-3m (No. 166, hexagonal axes)
One atom of each set of equivalent atoms:
K 0.0000 0.0000 0.0000 x3
K 0.0000 0.5000 0.0000 x9
Ac 0.0000 0.5000 0.5000 x9
Sc 0.0000 0.0000 0.5000 x3
Se 0.0000 0.0000 0.2411 x6
Se 0.0269 0.5134 0.2357 x18

Calculated values
The energy relative to the elements, uncorrected comes out at -1.7311 eV/atom.

---

Record 3
Below is a relaxed structure of CePaSi4, with properties calculated at the PBE level.

a b c (Å): 7.490 7.490 7.490
angles (deg): 90.00 90.00 90.00
Space group F-43m (No. 216)
One atom of each set of equivalent atoms:
Ce 0.000 0.000 0.000 x4
Pa 0.250 0.250 0.750 x4
Si 0.125 0.125 0.375 x16

Calculated values
The energy above the lowest structure with this stoichiometry comes out at 1.35 eV/f.u. The energy relative to the elements, uncorrected comes out at -0.3588 eV/atom.